# 1
DFT (GGA-PBE) results for a relaxed PuU2Os crystal.

Values from the calculation:
- Energy above the most stable polymorph in this dataset: 0.0052 eV per atom
- Spin magnetization: 0.3001 μB per atom
- Crystal system: cubic
- Energy relative to the elements: 0.064 eV per atom

Cell: 6.7011 6.7011 6.7011 Å, 90.00 90.00 90.00°
With the nearest neighbours (Å) after each atom.
Space group Fm-3m (No. 225)
Inequivalent atoms, fractional coordinates:
Pu 0.0000 0.0000 0.0000  8 U 2.90
U 0.2500 0.2500 0.2500  4 Os 2.90, 4 Pu 2.90
Os 0.0000 0.0000 0.5000  8 U 2.90


# 2
DFT (GGA-PBE) results for a relaxed Y3Th2Ru2 crystal.

Values from the calculation:
- Spin magnetization: 0.0000 μB per atom
- Crystal system: triclinic
- Energy relative to the elements: -0.333 eV per atom

Cell: 3.8509 6.3845 8.7475 Å, 110.62 90.06 107.54°
With the nearest neighbours (Å) after each atom.
Space group P-1 (No. 2)
Inequivalent atoms, fractional coordinates:
Y 0.0000 0.0000 0.0000  4 Ru 3.07, 2 Y 3.39
Y 0.1205 0.2417 0.4171  3 Ru 2.96-3.20
Th 0.3388 0.6766 0.1973  2 Ru 2.66
Ru 0.3081 0.6164 0.7870  2 Th 2.66, 2 Y 2.96-2.97


# 3
DFT (GGA-PBE) results for a relaxed Lu2PuTl crystal.

Values from the calculation:
- Energy above the most stable polymorph in this dataset: 0.0000 eV per atom
- Spin magnetization: 1.4934 μB per atom
- Crystal system: tetragonal
- Energy relative to the elements: -0.074 eV per atom

Cell: 3.4581 3.4581 9.0942 Å, 90.00 90.00 90.00°
With the nearest neighbours (Å) after each atom.
Space group P4/mmm (No. 123)
Inequivalent atoms, fractional coordinates:
Lu 0.0000 0.0000 0.2387  4 Tl 3.27, 4 Pu 3.41, 4 Lu 3.46
Pu 0.5000 0.5000 0.5000  8 Lu 3.41, 4 Pu 3.46
Tl 0.5000 0.5000 0.0000  8 Lu 3.27, 4 Tl 3.46


# 4
DFT (GGA-PBE) results for a relaxed KCu2Sb crystal.

Values from the calculation:
- Spin magnetization: 0.0000 μB per atom
- Crystal system: orthorhombic
- Uncorrected formation energy: 0.9 eV per formula unit

Cell: 4.5919 5.7472 7.2266 Å, 90.00 90.00 90.00°
With the nearest neighbours (Å) after each atom.
Space group Immm (No. 71)
Inequivalent atoms, fractional coordinates:
K 0.0000 0.0000 0.0000  8 Cu 3.14-3.28
Cu 0.0000 0.5000 0.1757  1 Cu 2.54, 2 Sb 2.62
Sb 0.0000 0.0000 0.5000  4 Cu 2.62


# 5
DFT (GGA-PBE) results for a relaxed Pm2PuSe4 crystal.

Values from the calculation:
- Energy above the most stable polymorph in this dataset: 0.0140 eV per atom
- Spin magnetization: 0.8002 μB per atom
- Crystal system: orthorhombic
- Uncorrected formation energy: -12.1 eV per formula unit

Cell: 4.1112 13.7840 14.0177 Å, 90.00 90.00 90.00°
With the nearest neighbours (Å) after each atom.
Space group Cmcm (No. 63)
Inequivalent atoms, fractional coordinates:
Pm 0.0000 0.1328 0.0694  6 Se 2.89-3.00
Pu 0.0000 0.3794 0.2500  6 Se 2.94-3.06
Se 0.0000 0.0320 0.2500  2 Pm 2.89, 2 Pu 2.94
Se 0.0000 0.2246 0.6243  3 Pm 2.95-3.00, 2 Pu 3.06
Se 0.0000 0.5000 0.0000  4 Pm 2.92


# 6
DFT (GGA-PBE) results for a relaxed Tb4Er2MgSc crystal.

Values from the calculation:
- Spin magnetization: 0.0000 μB per atom
- Crystal system: monoclinic
- Energy relative to the elements: 0.026 eV per atom

Cell: 4.9493 4.9489 9.6423 Å, 90.00 90.04 90.00°
With the nearest neighbours (Å) after each atom.
Space group P2/m (No. 10)
Inequivalent atoms, fractional coordinates:
Tb 0.9996 0.0000 0.2474  2 Sc 3.43-3.44, 4 Er 3.44-3.47, 2 Mg 3.47, 4 Tb 3.50
Tb 0.4992 0.5000 0.2476  4 Er 3.43-3.47, 2 Sc 3.44, 2 Mg 3.47, 4 Tb 3.50
Er 0.0000 0.5000 0.0000  8 Tb 3.43-3.44, 4 Sc 3.50
Er 0.5000 0.0000 0.5000  8 Tb 3.47, 4 Mg 3.50
Mg 0.0000 0.5000 0.5000  8 Tb 3.47, 4 Er 3.50
Sc 0.5000 0.0000 0.0000  8 Tb 3.43-3.44, 4 Er 3.50


# 7
DFT (GGA-PBE) results for a relaxed Ca4BiTe2Cl crystal.

Values from the calculation:
- Spin magnetization: 0.0000 μB per atom
- Crystal system: orthorhombic
- Uncorrected formation energy: -12.1 eV per formula unit

Cell: 8.9657 12.7761 8.9692 Å, 90.00 90.00 90.00°
With the nearest neighbours (Å) after each atom.
Space group Fmm2 (No. 42)
Inequivalent atoms, fractional coordinates:
Ca 0.0000 0.2455 0.0000  1 Bi 3.14, 4 Te 3.17, 1 Cl 3.25
Ca 0.2415 0.0000 0.7421  2 Cl 3.00-3.34, 2 Bi 3.17-3.18, 2 Te 3.20
Bi 0.0000 0.0000 0.0012  6 Ca 3.14-3.18
Te 0.2500 0.2500 0.2501  6 Ca 3.17-3.20
Cl 0.0000 0.0000 0.5100  6 Ca 3.00-3.34


# 8
DFT (GGA-PBE) results for a relaxed SmF5 crystal.

Values from the calculation:
- Spin magnetization: 0.3338 μB per atom
- Crystal system: orthorhombic
- Uncorrected formation energy: -14.7 eV per formula unit

Cell: 4.0697 7.8456 4.4317 Å, 90.00 90.00 90.00°
With the nearest neighbours (Å) after each atom.
Space group Cmmm (No. 65)
Inequivalent atoms, fractional coordinates:
Sm 0.0000 0.0000 0.0000  10 F 2.39-2.67
F 0.0000 0.1443 0.5000  3 F 2.26-2.33, 2 Sm 2.49
F 0.0000 0.3397 0.0000  3 Sm 2.39-2.67, 5 F 2.47-2.55
F 0.0000 0.5000 0.5000  8 F 2.33-2.55


# 9
DFT (GGA-PBE) results for a relaxed GaSn2TePt crystal.

Values from the calculation:
- Energy above the most stable polymorph in this dataset: 0.3808 eV per atom
- Spin magnetization: 0.0000 μB per atom
- Crystal system: tetragonal
- Uncorrected formation energy: 0.7 eV per formula unit

Cell: 5.1508 5.1508 5.7806 Å, 90.00 90.00 90.00°
With the nearest neighbours (Å) after each atom.
Space group P4/mmm (No. 123)
Inequivalent atoms, fractional coordinates:
Ga 0.0000 0.0000 0.0000  4 Te 3.64, 8 Sn 3.87
Sn 0.0000 0.5000 0.5000  2 Pt 2.58
Te 0.5000 0.5000 0.0000  2 Pt 2.89
Pt 0.5000 0.5000 0.5000  4 Sn 2.58


# 10
DFT (GGA-PBE) results for a relaxed Si2PbAu crystal.

Values from the calculation:
- Spin magnetization: 0.0000 μB per atom
- Crystal system: monoclinic
- Uncorrected formation energy: 0.9 eV per formula unit

Cell: 3.4905 3.4827 6.9545 Å, 90.00 93.98 90.00°
With the nearest neighbours (Å) after each atom.
Space group Pm (No. 6)
Inequivalent atoms, fractional coordinates:
Si 0.0000 0.0000 0.0000  4 Si 2.49-2.51, 1 Au 2.78
Si 0.4866 0.5000 0.9383  4 Si 2.49-2.51, 2 Au 2.64
Pb 0.0066 0.5000 0.3828  4 Au 3.11, 3 Si 3.18-3.47, 2 Pb 3.48
Au 0.5443 0.0000 0.6564  3 Si 2.64-2.78


# 11
DFT (GGA-PBE) results for a relaxed Zr2ZnCd crystal.

Values from the calculation:
- Energy above the most stable polymorph in this dataset: 0.3848 eV per atom
- Spin magnetization: 0.0000 μB per atom
- Crystal system: tetragonal
- Energy relative to the elements: 0.202 eV per atom

Cell: 7.8598 7.8598 5.5839 Å, 90.00 90.00 90.00°
With the nearest neighbours (Å) after each atom.
Space group I-42d (No. 122)
Inequivalent atoms, fractional coordinates:
Zr 0.2328 0.2500 0.1250  2 Zn 2.77, 2 Zr 2.81, 2 Cd 2.96
Zn 0.0000 0.0000 0.0000  4 Zr 2.77, 2 Cd 2.79
Cd 0.0000 0.0000 0.5000  2 Zn 2.79, 4 Zr 2.96


# 12
DFT (GGA-PBE) results for a relaxed BaLaCr2 crystal.

Values from the calculation:
- Energy above the most stable polymorph in this dataset: 0.2777 eV per atom
- Spin magnetization: 0.0000 μB per atom
- Crystal system: monoclinic
- Energy relative to the elements: 0.832 eV per atom

Cell: 10.8750 3.5950 7.8873 Å, 90.00 127.03 90.00°
With the nearest neighbours (Å) after each atom.
Space group C2/m (No. 12)
Inequivalent atoms, fractional coordinates:
Ba 0.0000 0.0000 0.0000  6 Cr 3.33-3.60, 2 Ba 3.60
La 0.0000 0.5000 0.5000  6 Cr 2.96-3.17
Cr 0.2433 0.0000 0.5719  2 Cr 2.18


# 13
DFT (GGA-PBE) results for a relaxed OsAu3Cl crystal.

Values from the calculation:
- Energy above the most stable polymorph in this dataset: 0.0000 eV per atom
- Spin magnetization: 0.3034 μB per atom
- Crystal system: cubic
- Uncorrected formation energy: 6.3 eV per formula unit

Cell: 5.0579 5.0579 5.0579 Å, 90.00 90.00 90.00°
With the nearest neighbours (Å) after each atom.
Space group Pm-3m (No. 221)
Inequivalent atoms, fractional coordinates:
Os 0.0000 0.0000 0.0000  6 Au 2.53
Au 0.0000 0.0000 0.5000  2 Os 2.53
Cl 0.5000 0.5000 0.5000  12 Au 3.58


# 14
DFT (GGA-PBE) results for a relaxed AcAlF crystal.

Values from the calculation:
- Energy above the most stable polymorph in this dataset: 0.2058 eV per atom
- Spin magnetization: 0.0004 μB per atom
- Crystal system: triclinic
- Uncorrected formation energy: -5.4 eV per formula unit

Cell: 4.3412 4.3573 9.6250 Å, 77.05 77.03 60.14°
With the nearest neighbours (Å) after each atom.
Space group P-1 (No. 2)
Inequivalent atoms, fractional coordinates:
Ac 0.2330 0.2346 0.3000  4 F 2.68-2.72
Al 0.3536 0.3512 0.9421  3 Al 2.73-2.74
F 0.1372 0.1380 0.5879  4 Ac 2.68-2.72, 2 F 3.00